PBE Y2OsPdC, optimized geometry; symmetry = No. 123; magnetization = 0.00 Bohr magnetons per cell; E_form = -0.4964 eV per atom; calculated volume = 19.1 Å³/atom
1.0
4.967 0.000 0.000
0.000 4.967 0.000
0.000 0.000 3.866
Y Os Pd C
2 1 1 1
Direct
0.000 0.500 0.000
0.500 0.000 0.000
0.000 0.000 0.500
0.500 0.500 0.500
0.000 0.000 0.000

=====

PBE PmOsC2, optimized geometry; E above lowest polymorph = 0.000 eV per atom; symmetry = No. 63; magnetization = 0.00 Bohr magnetons per cell; E_form = -0.0911 eV per atom; calculated volume = 13.9 Å³/atom
1.0
2.204 -4.791 0.000
2.204 4.791 0.000
0.000 0.000 5.282
Pm Os C
2 2 4
Direct
0.185 0.815 0.750
0.815 0.185 0.250
0.500 0.500 0.000
0.500 0.500 0.500
0.079 0.235 0.750
0.235 0.079 0.250
0.765 0.921 0.750
0.921 0.765 0.250